(1)
Entry from Alexandria via LeMat-Bulk: a relaxed CeTlW2O8 crystal (GGA-PBEsol).

Structure (CIF):
```
data_CeTlW2O8
_chemical_formula_sum 'Ce4 Tl4 W8 O32'
_cell_length_a 10.788
_cell_length_b 10.745
_cell_length_c 7.390
_cell_angle_alpha 90.00
_cell_angle_beta 130.33
_cell_angle_gamma 90.00
_space_group_name_H-M_alt 'C 1 2/c 1'
_space_group_IT_number 15
loop_
_space_group_symop_operation_xyz
'x,y,z'
'-x,-y,-z'
'-x,y,-z+1/2'
'x,-y,z+1/2'
'x+1/2,y+1/2,z'
'-x+1/2,-y+1/2,-z'
'-x+1/2,y+1/2,-z+1/2'
'x+1/2,-y+1/2,z+1/2'
loop_
_atom_site_label
_atom_site_type_symbol
_atom_site_fract_x
_atom_site_fract_y
_atom_site_fract_z
Ce1 Ce 0.000 0.228 0.250
Tl1 Tl 0.000 0.216 0.750
W1 W 0.198 0.495 0.220
O1 O 0.024 0.393 0.475
O2 O 0.127 0.086 0.181
O3 O 0.193 0.438 0.948
O4 O 0.227 0.159 0.634
```

Output
The density of states at the Fermi level is 29.8 states/eV/cell. The formation energy from raw total energies is -2.3129 eV per atom. The total energy comes out at -8.883 eV per atom.

=====

(2)
Entry from Alexandria via LeMat-Bulk: a relaxed CeTmO3 crystal (GGA-PBEsol).

Structure (CIF):
```
data_CeTmO3
_chemical_formula_sum 'Ce4 Tm4 O12'
_cell_length_a 5.956
_cell_length_b 8.256
_cell_length_c 5.729
_cell_angle_alpha 90.00
_cell_angle_beta 90.00
_cell_angle_gamma 90.00
_space_group_name_H-M_alt 'P n m a'
_space_group_IT_number 62
loop_
_space_group_symop_operation_xyz
'x,y,z'
'-x,-y,-z'
'-x+1/2,-y,z+1/2'
'x+1/2,y,-z+1/2'
'x+1/2,-y+1/2,-z+1/2'
'-x+1/2,y+1/2,z+1/2'
'-x,y+1/2,-z'
'x,-y+1/2,z'
loop_
_atom_site_label
_atom_site_type_symbol
_atom_site_fract_x
_atom_site_fract_y
_atom_site_fract_z
Ce1 Ce 0.056 0.250 0.017
Tm1 Tm 0.000 0.000 0.500
O1 O 0.060 0.750 0.366
O2 O 0.191 0.569 0.812
```

Output
The density of states at the Fermi level is 26.4 states/eV/cell. The formation energy from raw total energies is -3.4393 eV per atom. The total energy comes out at -8.888 eV per atom.

=====

(3)
Entry from Alexandria via LeMat-Bulk: a relaxed CeVO4 crystal (GGA-PBEsol).

Structure (CIF):
```
data_CeVO4
_chemical_formula_sum 'Ce4 V4 O16'
_cell_length_a 7.254
_cell_length_b 7.254
_cell_length_c 6.397
_cell_angle_alpha 90.00
_cell_angle_beta 90.00
_cell_angle_gamma 90.00
_space_group_name_H-M_alt 'I 41/a m d'
_space_group_IT_number 141
loop_
_space_group_symop_operation_xyz
'x,y,z'
'-x,-y,-z'
'-y+1/4,x+3/4,z+1/4'
'y+1/4,-x+3/4,-z+1/4'
'-x+1/2,-y,z+1/2'
'x+1/2,y,-z+1/2'
'y+1/4,-x+1/4,z+3/4'
'-y+1/4,x+1/4,-z+3/4'
'x,-y,-z'
'-x,y,z'
'-y+1/4,-x+1/4,-z+3/4'
'y+1/4,x+1/4,z+3/4'
'-x+1/2,y,-z+1/2'
'x+1/2,-y,z+1/2'
'y+1/4,x+3/4,-z+1/4'
'-y+1/4,-x+3/4,z+1/4'
'x+1/2,y+1/2,z+1/2'
'-x+1/2,-y+1/2,-z+1/2'
'-y+3/4,x+1/4,z+3/4'
'y+3/4,-x+1/4,-z+3/4'
'-x,-y+1/2,z'
'x,y+1/2,-z'
'y+3/4,-x+3/4,z+1/4'
'-y+3/4,x+3/4,-z+1/4'
'x+1/2,-y+1/2,-z+1/2'
'-x+1/2,y+1/2,z+1/2'
'-y+3/4,-x+3/4,-z+1/4'
'y+3/4,x+3/4,z+1/4'
'-x,y+1/2,-z'
'x,-y+1/2,z'
'y+3/4,x+1/4,-z+3/4'
'-y+3/4,-x+1/4,z+3/4'
loop_
_atom_site_label
_atom_site_type_symbol
_atom_site_fract_x
_atom_site_fract_y
_atom_site_fract_z
Ce1 Ce 0.000 0.250 0.375
V1 V 0.000 0.250 0.875
O1 O 0.000 0.067 0.702
```

Output
The density of states at the Fermi level is 21.7 states/eV/cell. The formation energy from raw total energies is -2.9611 eV per atom. The total energy comes out at -9.166 eV per atom.

=====

(4)
Entry from Alexandria via LeMat-Bulk: a relaxed CeVO3 crystal (GGA-PBEsol).

Structure (CIF):
```
data_CeVO3
_chemical_formula_sum 'Ce4 V4 O12'
_cell_length_a 5.654
_cell_length_b 7.659
_cell_length_c 5.306
_cell_angle_alpha 90.00
_cell_angle_beta 90.00
_cell_angle_gamma 90.00
_space_group_name_H-M_alt 'P n m a'
_space_group_IT_number 62
loop_
_space_group_symop_operation_xyz
'x,y,z'
'-x,-y,-z'
'-x+1/2,-y,z+1/2'
'x+1/2,y,-z+1/2'
'x+1/2,-y+1/2,-z+1/2'
'-x+1/2,y+1/2,z+1/2'
'-x,y+1/2,-z'
'x,-y+1/2,z'
loop_
_atom_site_label
_atom_site_type_symbol
_atom_site_fract_x
_atom_site_fract_y
_atom_site_fract_z
Ce1 Ce 0.064 0.250 0.017
V1 V 0.000 0.000 0.500
O1 O 0.029 0.750 0.405
O2 O 0.200 0.550 0.806
```

Output
The density of states at the Fermi level is 18.0 states/eV/cell. The formation energy from raw total energies is -2.9033 eV per atom. The total energy comes out at -9.299 eV per atom.